Computed, not measured: an optimized crystal structure of Cd2AgSe2 at the PBE-GGA level of DFT.

```
data_Cd2AgSe2
_symmetry_space_group_name_H-M 'I 4/m m m'
_symmetry_Int_Tables_number 139
_symmetry_space_group_name_Hall '-I 4 2'
_cell_length_a 4.457
_cell_length_b 4.457
_cell_length_c 13.242
_cell_angle_alpha 90.00
_cell_angle_beta 90.00
_cell_angle_gamma 90.00
loop_
_atom_site_label
_atom_site_fract_x
_atom_site_fract_y
_atom_site_fract_z
Cd1 0.000 0.500 0.250
Ag1 0.000 0.000 0.000
Se1 0.000 0.000 0.375
```

Results
* uncorrected formation energy: 0.0 eV/f.u.
* D(E_F): 5.73 states/eV per cell
* offset from the most stable computed form: 140.9 meV/atom